Cs2ScTlBr6 | PBEsol | optimized geometry

Calculated values
Raw formation energy, eV/atom: -1.583
Size of the total moment, μB/f.u.: 0.0
Volume, Å³ per cell: 373.9

Cell: 8.0866 8.0866 8.0866 Å, 60.00 60.00 60.00°
Closest atoms and distances in Å follow each position.
Positions (direct):
Cs: 0.7500 0.7500 0.7500  12 Br 4.05
Cs: 0.2500 0.2500 0.2500  12 Br 4.05
Sc: 0.0000 0.0000 0.0000  6 Br 2.62
Tl: 0.5000 0.5000 0.5000  6 Br 3.09
Br: 0.7705 0.2295 0.2295  1 Sc 2.62
Br: 0.7705 0.7705 0.2295  1 Sc 2.62
Br: 0.2295 0.7705 0.7705  1 Sc 2.62
Br: 0.7705 0.2295 0.7705  1 Sc 2.62
Br: 0.2295 0.7705 0.2295  1 Sc 2.62
Br: 0.2295 0.2295 0.7705  1 Sc 2.62

=====

Cs3SeBr | PBEsol | optimized geometry

Calculated values
Raw formation energy, eV/atom: -1.000
Size of the total moment, μB/f.u.: 0.0
Volume, Å³ per cell: 276.9

Cell: 6.5176 6.5176 6.5176 Å, 90.00 90.00 90.00°
Closest atoms and distances in Å follow each position.
Positions (direct):
Cs: 0.0000 0.5000 0.0000  2 Br 3.26
Cs: 0.0000 0.0000 0.5000  2 Br 3.26
Cs: 0.5000 0.0000 0.0000  2 Br 3.26
Se: 0.5000 0.5000 0.5000  12 Cs 4.61
Br: 0.0000 0.0000 0.0000  6 Cs 3.26

=====

CsSeBr2 | PBEsol | optimized geometry

Calculated values
Raw formation energy, eV/atom: -0.465
Size of the total moment, μB/f.u.: 0.0
Volume, Å³ per cell: 133.0

Cell: 5.1998 5.1998 6.4227 Å, 66.12 66.12 60.00°
Closest atoms and distances in Å follow each position.
Positions (direct):
Cs: 0.0000 0.0000 0.0000  8 Br 3.45-3.74
Se: 0.5000 0.5000 0.5000  6 Br 3.06
Br: 0.7977 0.7977 0.6068  3 Se 3.06, 3 Br 3.24
Br: 0.2023 0.2023 0.3932  3 Se 3.06, 3 Br 3.24

=====

CsSiSe2Br | PBEsol | optimized geometry

Calculated values
Raw formation energy, eV/atom: 1.136
Size of the total moment, μB/f.u.: 0.0
Volume, Å³ per cell: 196.3

Cell: 5.6417 5.6417 6.1663 Å, 90.00 90.00 90.00°
Closest atoms and distances in Å follow each position.
Positions (direct):
Cs: 0.0000 0.0000 0.0000  4 Se 2.82, 2 Br 3.08
Si: 0.5000 0.5000 0.5000  4 Br 3.99, 8 Se 4.18
Se: 0.0000 0.5000 0.0000  2 Cs 2.82
Se: 0.5000 0.0000 0.0000  2 Cs 2.82
Br: 0.0000 0.0000 0.5000  2 Cs 3.08

=====

CsSrSe2Br | PBEsol | optimized geometry

Calculated values
Raw formation energy, eV/atom: -0.981
Size of the total moment, μB/f.u.: 1.8
Volume, Å³ per cell: 203.9
ΔE to the lowest computed polymorph, eV per atom: 0.000

Cell: 5.8637 5.8637 5.9310 Å, 90.00 90.00 90.00°
Closest atoms and distances in Å follow each position.
Positions (direct):
Cs: 0.5000 0.5000 0.5000  4 Br 4.15, 8 Se 4.17
Sr: 0.0000 0.0000 0.0000  4 Se 2.93, 2 Br 2.97
Se: 0.0000 0.5000 0.0000  2 Sr 2.93
Se: 0.5000 0.0000 0.0000  2 Sr 2.93
Br: 0.0000 0.0000 0.5000  2 Sr 2.97

=====

CsSrSe2Br | PBEsol | optimized geometry

Calculated values
Raw formation energy, eV/atom: -0.347
Size of the total moment, μB/f.u.: 0.0
Volume, Å³ per cell: 198.8
ΔE to the lowest computed polymorph, eV per atom: 0.634

Cell: 5.6779 5.6779 6.1669 Å, 90.00 90.00 90.00°
Closest atoms and distances in Å follow each position.
Positions (direct):
Cs: 0.0000 0.0000 0.0000  4 Se 2.84, 2 Br 3.08
Sr: 0.5000 0.5000 0.5000  4 Br 4.01, 8 Se 4.19
Se: 0.0000 0.5000 0.0000  2 Cs 2.84
Se: 0.5000 0.0000 0.0000  2 Cs 2.84
Br: 0.0000 0.0000 0.5000  2 Cs 3.08

=====

CsTaSe2Br | PBEsol | optimized geometry

Calculated values
Raw formation energy, eV/atom: 1.738
Size of the total moment, μB/f.u.: 2.7
Volume, Å³ per cell: 187.6

Cell: 5.5954 5.5954 5.9919 Å, 90.00 90.00 90.00°
Closest atoms and distances in Å follow each position.
Positions (direct):
Cs: 0.0000 0.0000 0.0000  4 Se 2.80, 2 Br 3.00
Se: 0.0000 0.5000 0.0000  2 Cs 2.80
Se: 0.5000 0.0000 0.0000  2 Cs 2.80
Br: 0.0000 0.0000 0.5000  2 Cs 3.00
Ta: 0.5000 0.5000 0.5000  4 Br 3.96, 8 Se 4.10

=====

CsTc3Se4Br2 | PBEsol | optimized geometry

Calculated values
Raw formation energy, eV/atom: -0.827
Size of the total moment, μB/f.u.: 0.0
Volume, Å³ per cell: 1101.3

Cell: 6.4927 9.3017 18.7674 Å, 90.00 90.00 103.66°
Closest atoms and distances in Å follow each position.
Positions (direct):
Cs: 0.0086 0.0509 0.8085  5 Br 3.62-3.85, 4 Se 3.64-4.01
Cs: 0.5086 0.5509 0.6915  5 Br 3.62-3.85, 4 Se 3.64-4.01
Cs: 0.9914 0.9491 0.1915  5 Br 3.62-3.85, 4 Se 3.64-4.01
Cs: 0.4914 0.4491 0.3085  5 Br 3.62-3.85, 4 Se 3.64-4.01
Tc: 0.0327 0.8915 0.5800  4 Se 2.49-2.50, 1 Br 2.57, 4 Tc 2.58-2.64
Tc: 0.5327 0.3915 0.9200  4 Se 2.49-2.50, 1 Br 2.57, 4 Tc 2.58-2.64
Tc: 0.9673 0.1085 0.4200  4 Se 2.49-2.50, 1 Br 2.57, 4 Tc 2.58-2.64
Tc: 0.4673 0.6085 0.0800  4 Se 2.49-2.50, 1 Br 2.57, 4 Tc 2.58-2.64
Tc: 0.9812 0.1554 0.5590  4 Se 2.49, 1 Br 2.55, 4 Tc 2.58-2.64
Tc: 0.4812 0.6554 0.9410  4 Se 2.49, 1 Br 2.55, 4 Tc 2.58-2.64
Tc: 0.0188 0.8446 0.4410  4 Se 2.49, 1 Br 2.55, 4 Tc 2.58-2.64
Tc: 0.5188 0.3446 0.0590  4 Se 2.49, 1 Br 2.55, 4 Tc 2.58-2.64
Tc: 0.7128 0.9297 0.5051  5 Se 2.48-2.59, 4 Tc 2.60
Tc: 0.2128 0.4297 0.9949  5 Se 2.48-2.59, 4 Tc 2.60
Tc: 0.2872 0.0703 0.4949  5 Se 2.48-2.59, 4 Tc 2.60
Tc: 0.7872 0.5703 0.0051  5 Se 2.48-2.59, 4 Tc 2.60
Se: 0.7319 0.9752 0.6354  3 Tc 2.48-2.49
Se: 0.2319 0.4752 0.8646  3 Tc 2.48-2.49
Se: 0.2681 0.0248 0.3646  3 Tc 2.48-2.49
Se: 0.7681 0.5248 0.1354  3 Tc 2.48-2.49
Se: 0.2938 0.1136 0.6255  3 Tc 2.48-2.49
Se: 0.7938 0.6136 0.8745  3 Tc 2.48-2.49
Se: 0.7062 0.8864 0.3745  3 Tc 2.48-2.49
Se: 0.2062 0.3864 0.1255  3 Tc 2.48-2.49
Se: 0.3139 0.8003 0.5160  4 Tc 2.49-2.59
Se: 0.8139 0.3003 0.9840  4 Tc 2.49-2.59
Se: 0.6861 0.1997 0.4840  4 Tc 2.49-2.59
Se: 0.1861 0.6997 0.0160  4 Tc 2.49-2.59
Se: 0.7757 0.6778 0.5243  3 Tc 2.49-2.50
Se: 0.2757 0.1778 0.9757  3 Tc 2.49-2.50
Se: 0.2243 0.3222 0.4757  3 Tc 2.49-2.50
Se: 0.7243 0.8222 0.0243  3 Tc 2.49-2.50
Br: 0.0713 0.7495 0.6946  1 Tc 2.57
Br: 0.5713 0.2495 0.8054  1 Tc 2.57
Br: 0.9287 0.2505 0.3054  1 Tc 2.57
Br: 0.4287 0.7505 0.1946  1 Tc 2.57
Br: 0.9632 0.3684 0.6422  1 Tc 2.55
Br: 0.4632 0.8684 0.8578  1 Tc 2.55
Br: 0.0368 0.6316 0.3578  1 Tc 2.55
Br: 0.5368 0.1316 0.1422  1 Tc 2.55

=====

CsTlSeBr2 | PBEsol | optimized geometry

Calculated values
Raw formation energy, eV/atom: -0.758
Size of the total moment, μB/f.u.: 0.0
Volume, Å³ per cell: 174.8

Cell: 5.2844 5.7520 5.7520 Å, 90.00 90.00 90.00°
Closest atoms and distances in Å follow each position.
Positions (direct):
Cs: 0.5000 0.5000 0.5000  8 Br 3.91, 4 Se 4.07
Tl: 0.0000 0.0000 0.0000  2 Se 2.64, 4 Br 2.88
Se: 0.5000 0.0000 0.0000  2 Tl 2.64
Br: 0.0000 0.0000 0.5000  2 Tl 2.88
Br: 0.0000 0.5000 0.0000  2 Tl 2.88

=====

CsWSe2Br | PBEsol | optimized geometry

Calculated values
Raw formation energy, eV/atom: 2.019
Size of the total moment, μB/f.u.: 3.7
Volume, Å³ per cell: 194.9

Cell: 5.6622 5.6622 6.0794 Å, 90.00 90.00 90.00°
Closest atoms and distances in Å follow each position.
Positions (direct):
Cs: 0.0000 0.0000 0.0000  4 Se 2.83, 2 Br 3.04
Se: 0.0000 0.5000 0.0000  2 Cs 2.83
Se: 0.5000 0.0000 0.0000  2 Cs 2.83
Br: 0.0000 0.0000 0.5000  2 Cs 3.04
W: 0.5000 0.5000 0.5000  4 Br 4.00, 8 Se 4.15

=====

Look up the raw formation energy of the fourth one.
1.136 eV/atom